Record 1
Compound: Na3Y3NpTe8
Source: the Alexandria database
Functional: PBE-GGA
Structure: relaxed

a b c (Å): 8.8260 8.8260 22.8085
angles (deg): 90.00 90.00 120.00
Space group R-3m (No. 166, hexagonal axes)
Inequivalent atoms, fractional coordinates:
Na 0.0000 0.5000 0.0000 x9
Y 0.0000 0.5000 0.5000 x9
Np 0.0000 0.0000 0.5000 x3
Te 0.0000 0.0000 0.2444 x6
Te 0.0005 0.5002 0.2433 x18

Properties
Total moment: 2.99 μB/f.u.
Electronic total energy: -5.264 eV per atom
Formation energy (no corrections): -1.169 eV/atom

Record 2
Compound: Mg3InIr
Source: the Alexandria database
Functional: PBE-GGA
Structure: relaxed

a b c (Å): 10.506 8.083 7.119
angles (deg): 90.00 129.82 90.00
Space group C2/m (No. 12)
Inequivalent atoms, fractional coordinates:
Mg 0.055 0.000 0.252 x4
Mg 0.236 0.316 0.178 x8
In 0.082 0.500 0.375 x4
Ir 0.243 0.500 0.866 x4

Properties
Energy of formation from the pure elements: -0.816 eV/f.u.
Total moment: 0.00 μB/f.u.
Energy above the most stable polymorph in this dataset: 0.0865 eV per atom
Electronic total energy: -3.440 eV per atom

Record 3
Compound: LiZrSe2
Source: the Alexandria database
Functional: PBE-GGA
Structure: relaxed

a b c (Å): 6.109 6.109 11.502
angles (deg): 90.00 90.00 90.00
Space group I-42d (No. 122)
Inequivalent atoms, fractional coordinates:
Li 0.000 0.000 0.000 x4
Zr 0.000 0.000 0.500 x4
Se 0.244 0.250 0.125 x8

Properties
Total moment: 0.92 μB/f.u.
Electronic total energy: -5.388 eV per atom
Formation energy (no corrections): -1.030 eV/atom

> Number 1 is which compound?

Na3Y3NpTe8

> Number 3 is which compound?

LiZrSe2

> Number 1 is which compound?

Na3Y3NpTe8

> total moment of number 1 (Na3Y3NpTe8)?

2.99 μB/f.u.